The following is a DFT calculation (PBE+U) of a geometry-optimized Rb3AgW2O8 structure.

Cell: 6.3203 6.3203 8.1084 Å, 90.00 90.00 120.00°
Space group P-3m1 (No. 164)
Asymmetric unit:
Rb 0.0000 0.0000 0.0000
Rb 0.3333 0.6667 0.6597
Ag 0.0000 0.0000 0.5000
W 0.3333 0.6667 0.2172
O 0.1777 0.3553 0.2978
O 0.3333 0.6667 0.9945

Properties
* density: 5.1 g/cm³
* DFT total energy: -6.069 eV/atom